# 1
Entry from the Alexandria database: crystalline Hf6Zn2N at its relaxed geometry (PBE).

Structure (CIF):
```
data_Hf6Zn2N
_symmetry_space_group_name_H-M 'P 1 21/c 1'
_symmetry_Int_Tables_number 14
_symmetry_space_group_name_Hall '-P 2ybc'
_cell_length_a 5.813
_cell_length_b 6.146
_cell_length_c 10.823
_cell_angle_alpha 90.00
_cell_angle_beta 120.33
_cell_angle_gamma 90.00
loop_
_atom_site_label
_atom_site_fract_x
_atom_site_fract_y
_atom_site_fract_z
_atom_site_occupancy
Hf1 0.135 0.007 0.242 1
Hf2 0.203 0.683 0.032 1
Hf3 0.355 0.190 0.027 1
Zn1 0.341 0.090 0.755 1
N1 0.000 0.000 0.000 1
```

# 2
Entry from the Alexandria database: crystalline Hf2ZnN at its relaxed geometry (PBE).

Structure (CIF):
```
data_Hf2ZnN
_symmetry_space_group_name_H-M 'C 1 2/m 1'
_symmetry_Int_Tables_number 12
_symmetry_space_group_name_Hall '-C 2y'
_cell_length_a 5.580
_cell_length_b 3.227
_cell_length_c 7.208
_cell_angle_alpha 90.00
_cell_angle_beta 105.09
_cell_angle_gamma 90.00
loop_
_atom_site_label
_atom_site_fract_x
_atom_site_fract_y
_atom_site_fract_z
_atom_site_occupancy
Hf1 0.228 0.000 0.180 1
Zn1 0.000 0.000 0.500 1
N1 0.000 0.500 0.000 1
```

# 3
# Hf3ZnN PBE relaxed
# Polymorph energy (0 for the lowest one) ... 0.000 eV/atom
data_Hf3ZnN
_symmetry_space_group_name_H-M 'C m c m'
_symmetry_Int_Tables_number 63
_symmetry_space_group_name_Hall '-C 2c 2'
_cell_length_a 3.312
_cell_length_b 11.323
_cell_length_c 8.828
_cell_angle_alpha 90.00
_cell_angle_beta 90.00
_cell_angle_gamma 90.00
loop_
_atom_site_label
_atom_site_fract_x
_atom_site_fract_y
_atom_site_fract_z
_atom_site_occupancy
Hf1 0.000 0.045 0.250 1
Hf2 0.000 0.372 0.046 1
Zn1 0.000 0.255 0.750 1
N1 0.000 0.000 0.000 1

# 4
Entry from the Alexandria database: crystalline HfZn2N at its relaxed geometry (PBE).

Structure (CIF):
```
data_HfZn2N
_symmetry_space_group_name_H-M 'I -4 2 d'
_symmetry_Int_Tables_number 122
_symmetry_space_group_name_Hall 'I -4 2bw'
_cell_length_a 7.390
_cell_length_b 7.390
_cell_length_c 4.340
_cell_angle_alpha 90.00
_cell_angle_beta 90.00
_cell_angle_gamma 90.00
loop_
_atom_site_label
_atom_site_fract_x
_atom_site_fract_y
_atom_site_fract_z
_atom_site_occupancy
Hf1 0.000 0.000 0.000 1
Zn1 0.176 0.250 0.625 1
N1 0.000 0.000 0.500 1
```

# 5
Entry from the Alexandria database: crystalline HfZn8N6 at its relaxed geometry (PBE).

Structure (CIF):
```
data_HfZn8N6
_symmetry_space_group_name_H-M 'P 63 c m'
_symmetry_Int_Tables_number 185
_symmetry_space_group_name_Hall 'P 6c -2'
_cell_length_a 5.6627
_cell_length_b 5.6627
_cell_length_c 15.8177
_cell_angle_alpha 90.00
_cell_angle_beta 90.00
_cell_angle_gamma 120.00
loop_
_atom_site_label
_atom_site_fract_x
_atom_site_fract_y
_atom_site_fract_z
_atom_site_occupancy
Hf1 0.0000 0.0000 0.0000 1
Zn1 0.0000 0.3072 0.3221 1
Zn2 0.0000 0.3130 0.6935 1
Zn3 0.3333 0.6667 0.4653 1
N1 0.0000 0.0000 0.1322 1
N2 0.0000 0.3272 0.4481 1
N3 0.3333 0.6667 0.2443 1
```

# 6
Entry from the Alexandria database: crystalline Hf5ZnN6 at its relaxed geometry (PBE).

Structure (CIF):
```
data_Hf5ZnN6
_symmetry_space_group_name_H-M 'C 1 2/m 1'
_symmetry_Int_Tables_number 12
_symmetry_space_group_name_Hall '-C 2y'
_cell_length_a 5.536
_cell_length_b 9.583
_cell_length_c 5.536
_cell_angle_alpha 90.00
_cell_angle_beta 109.45
_cell_angle_gamma 90.00
loop_
_atom_site_label
_atom_site_fract_x
_atom_site_fract_y
_atom_site_fract_z
_atom_site_occupancy
Hf1 0.000 0.000 0.000 1
Hf2 0.000 0.166 0.500 1
Hf3 0.000 0.338 0.000 1
Zn1 0.000 0.500 0.500 1
N1 0.249 0.167 0.247 1
N2 0.249 0.500 0.255 1
```

Energy relative to the elements, uncorrected across the listed records, respectively: -41.0 -93.9 -86.2 -10.6 -5.1 -141.2 kJ/mol of atoms.